Crystalline Ni8Sb at its relaxed geometry, computed with GGA-PBE.

Values from the calculation:
The calculation puts the density at 5.0 g/cm³. For the energy, the calculation gives -48.6 eV/f.u. Its volume is 21.70 Å³/atom.

Cell lengths 4.2764, 4.2764, 28.4068 Å; angles 90.06, 90.06, 48.76 degrees
Last column: nearest neighbours and their distance in Å.
Atoms (fractional coordinates):
Ni  0.6500  0.6500  0.9860  12 Ni 2.46-2.49
Ni  0.4470  0.4470  0.8215  9 Ni 2.44-2.50, 2 Sb 2.63
Ni  0.2494  0.2494  0.2071  6 Ni 2.47-2.51, 3 Sb 2.53-2.54
Ni  0.4497  0.4497  0.0964  12 Ni 2.45-2.49
Ni  0.5530  0.5530  0.1785  9 Ni 2.44-2.50, 2 Sb 2.63
Ni  0.7493  0.7493  0.0685  12 Ni 2.45-2.49
Sb  0.9485  0.9485  0.2410  6 Ni 2.53-2.68
Ni  0.8491  0.8491  0.1504  11 Ni 2.44-2.51, 1 Sb 2.68
Sb  0.0515  0.0515  0.7590  6 Ni 2.53-2.68
Ni  0.3500  0.3500  0.0140  12 Ni 2.46-2.49
Ni  0.9501  0.9501  0.9586  12 Ni 2.46-2.49
Ni  0.1512  0.1512  0.1237  12 Ni 2.45-2.49
Ni  0.2507  0.2507  0.9315  12 Ni 2.45-2.49
Ni  0.0499  0.0499  0.0414  12 Ni 2.46-2.49
Ni  0.1509  0.1509  0.8496  11 Ni 2.44-2.51, 1 Sb 2.68
Ni  0.8488  0.8488  0.8763  12 Ni 2.45-2.49
Ni  0.7506  0.7506  0.7929  6 Ni 2.47-2.51, 3 Sb 2.53-2.54
Ni  0.5503  0.5503  0.9036  12 Ni 2.45-2.49